(1)
The following is a DFT calculation (PBE-GGA) of crystalline BeGaAsOs at its relaxed geometry.

- polymorph energy (0 for the lowest one) (eV/f.u.) = 0.45
- total moment (Bohr magnetons per cell) = 0.00
- symmetry = F-43m

Cell lengths 4.334, 4.334, 4.334 Å; angles 60.00, 60.00, 60.00 degrees
Positions (direct):
Be: 0.000 0.000 0.000
Ga: 0.500 0.500 0.500
As: 0.750 0.750 0.750
Os: 0.250 0.250 0.250

=====

(2)
The following is a DFT calculation (PBE-GGA) of crystalline BeGaAsOs at its relaxed geometry.

- polymorph energy (0 for the lowest one) (eV/f.u.) = 0.26
- total moment (Bohr magnetons per cell) = 0.01
- symmetry = F-43m

Cell lengths 4.295, 4.295, 4.295 Å; angles 60.00, 60.00, 60.00 degrees
Positions (direct):
Be: 0.000 0.000 0.000
Ga: 0.750 0.750 0.750
As: 0.500 0.500 0.500
Os: 0.250 0.250 0.250

=====

(3)
The following is a DFT calculation (PBE-GGA) of crystalline BeGaAsOs at its relaxed geometry.

- polymorph energy (0 for the lowest one) (eV/f.u.) = 0.00
- total moment (Bohr magnetons per cell) = 0.00
- symmetry = F-43m

Cell lengths 4.302, 4.302, 4.302 Å; angles 60.00, 60.00, 60.00 degrees
Positions (direct):
Be: 0.000 0.000 0.000
Ga: 0.750 0.750 0.750
As: 0.250 0.250 0.250
Os: 0.500 0.500 0.500

=====

(4)
The following is a DFT calculation (PBE-GGA) of crystalline BeReGeAs at its relaxed geometry.

- polymorph energy (0 for the lowest one) (eV/f.u.) = 0.82
- total moment (Bohr magnetons per cell) = 0.02
- symmetry = F-43m

Cell lengths 4.360, 4.360, 4.360 Å; angles 60.00, 60.00, 60.00 degrees
Positions (direct):
Be: 0.000 0.000 0.000
Re: 0.250 0.250 0.250
Ge: 0.500 0.500 0.500
As: 0.750 0.750 0.750

=====

(5)
The following is a DFT calculation (PBE-GGA) of crystalline BeReGeAs at its relaxed geometry.

- polymorph energy (0 for the lowest one) (eV/f.u.) = 0.72
- total moment (Bohr magnetons per cell) = 0.04
- symmetry = F-43m

Cell lengths 4.341, 4.341, 4.341 Å; angles 60.00, 60.00, 60.00 degrees
Positions (direct):
Be: 0.000 0.000 0.000
Re: 0.250 0.250 0.250
Ge: 0.750 0.750 0.750
As: 0.500 0.500 0.500

=====

(6)
The following is a DFT calculation (PBE-GGA) of crystalline BeReGeAs at its relaxed geometry.

- polymorph energy (0 for the lowest one) (eV/f.u.) = 0.00
- total moment (Bohr magnetons per cell) = 0.00
- symmetry = F-43m

Cell lengths 4.327, 4.327, 4.327 Å; angles 60.00, 60.00, 60.00 degrees
Positions (direct):
Be: 0.000 0.000 0.000
Re: 0.500 0.500 0.500
Ge: 0.750 0.750 0.750
As: 0.250 0.250 0.250

=====

(7)
The following is a DFT calculation (PBE-GGA) of crystalline BeTcGeAs at its relaxed geometry.

- polymorph energy (0 for the lowest one) (eV/f.u.) = 0.72
- total moment (Bohr magnetons per cell) = 0.17
- symmetry = F-43m

Cell lengths 4.365, 4.365, 4.365 Å; angles 60.00, 60.00, 60.00 degrees
Positions (direct):
Be: 0.000 0.000 0.000
Tc: 0.250 0.250 0.250
Ge: 0.500 0.500 0.500
As: 0.750 0.750 0.750

=====

(8)
The following is a DFT calculation (PBE-GGA) of crystalline BeTcGeAs at its relaxed geometry.

- polymorph energy (0 for the lowest one) (eV/f.u.) = 0.00
- total moment (Bohr magnetons per cell) = 0.01
- symmetry = F-43m

Cell lengths 4.327, 4.327, 4.327 Å; angles 60.00, 60.00, 60.00 degrees
Positions (direct):
Be: 0.000 0.000 0.000
Tc: 0.500 0.500 0.500
Ge: 0.750 0.750 0.750
As: 0.250 0.250 0.250